Computed, not measured: a relaxed Dy5TmMg6 crystal at the GGA-PBE level of DFT.

Lattice parameters (Å, degrees): 8.472 8.472 7.531 90.00 90.00 143.12
Fractional positions:
1 Dy 0.000 0.000 0.000
2 Dy 0.333 0.667 0.000
3 Dy 0.334 0.666 0.500
4 Dy 0.666 0.334 0.500
5 Dy 0.667 0.333 0.000
6 Tm 0.000 0.000 0.500
7 Mg 0.166 0.834 0.251
8 Mg 0.166 0.834 0.749
9 Mg 0.500 0.500 0.251
10 Mg 0.500 0.500 0.749
11 Mg 0.834 0.166 0.251
12 Mg 0.834 0.166 0.749

Computed properties:
volume = 324.4 Å³/cell
space group = Cmmm (65)
ρ = 5.77 Mg/m³
energy relative to the elements = -0.08 eV/atom

=====

Computed, not measured: a relaxed Dy6Tm3Mg crystal at the GGA-PBE level of DFT.

Lattice parameters (Å, degrees): 8.841 8.841 8.820 90.00 90.00 117.10
Fractional positions:
1 Dy 0.057 0.943 0.500
2 Dy 0.177 0.303 0.317
3 Dy 0.177 0.479 0.987
4 Dy 0.283 0.717 0.389
5 Dy 0.303 0.177 0.817
6 Dy 0.479 0.177 0.487
7 Dy 0.521 0.823 0.987
8 Dy 0.697 0.823 0.317
9 Dy 0.717 0.283 0.889
10 Dy 0.823 0.521 0.487
11 Dy 0.823 0.697 0.817
12 Dy 0.943 0.057 0.000
13 Tm 0.031 0.323 0.649
14 Tm 0.323 0.031 0.149
15 Tm 0.455 0.545 0.628
16 Tm 0.545 0.455 0.128
17 Tm 0.677 0.969 0.649
18 Tm 0.969 0.677 0.149
19 Mg 0.223 0.777 0.747
20 Mg 0.777 0.223 0.247

Computed properties:
volume = 613.7 Å³/cell
space group = Cmc2_1 (36)
ρ = 8.15 Mg/m³
energy relative to the elements = 0.13 eV/atom

=====

Computed, not measured: a relaxed Dy2Tm2Mg15 crystal at the GGA-PBE level of DFT.

Lattice parameters (Å, degrees): 7.888 7.888 7.888 82.69 82.69 82.69
Fractional positions:
1 Dy 0.172 0.172 0.172
2 Dy 0.828 0.828 0.828
3 Tm 0.399 0.399 0.399
4 Tm 0.601 0.601 0.601
5 Mg 0.000 0.500 0.500
6 Mg 0.142 0.142 0.656
7 Mg 0.142 0.656 0.142
8 Mg 0.201 0.500 0.799
9 Mg 0.201 0.799 0.500
10 Mg 0.344 0.858 0.858
11 Mg 0.500 0.000 0.500
12 Mg 0.500 0.201 0.799
13 Mg 0.500 0.500 0.000
14 Mg 0.500 0.799 0.201
15 Mg 0.656 0.142 0.142
16 Mg 0.799 0.201 0.500
17 Mg 0.799 0.500 0.201
18 Mg 0.858 0.344 0.858
19 Mg 0.858 0.858 0.344

Computed properties:
volume = 479.8 Å³/cell
space group = R-3m (166)
ρ = 3.56 Mg/m³
energy relative to the elements = 0.03 eV/atom

=====

Computed, not measured: a relaxed Dy2Tm9Mg crystal at the GGA-PBE level of DFT.

Lattice parameters (Å, degrees): 4.917 4.917 14.789 90.00 90.00 90.00
Fractional positions:
1 Dy 0.000 0.000 0.167
2 Dy 0.000 0.000 0.833
3 Tm 0.000 0.500 0.000
4 Tm 0.000 0.500 0.335
5 Tm 0.000 0.500 0.665
6 Tm 0.500 0.000 0.000
7 Tm 0.500 0.000 0.335
8 Tm 0.500 0.000 0.665
9 Tm 0.500 0.500 0.171
10 Tm 0.500 0.500 0.500
11 Tm 0.500 0.500 0.829
12 Mg 0.000 0.000 0.500

Computed properties:
volume = 357.5 Å³/cell
space group = P4/mmm (123)
ρ = 8.68 Mg/m³
energy relative to the elements = 0.03 eV/atom

=====

Computed, not measured: a relaxed Dy5TmMg3 crystal at the GGA-PBE level of DFT.

Lattice parameters (Å, degrees): 9.327 9.327 6.902 90.00 90.00 120.00
Fractional positions:
1 Dy 0.000 0.332 0.250
2 Dy 0.000 0.668 0.750
3 Dy 0.332 0.000 0.250
4 Dy 0.332 0.332 0.750
5 Dy 0.333 0.667 0.000
6 Dy 0.333 0.667 0.500
7 Dy 0.667 0.333 0.000
8 Dy 0.667 0.333 0.500
9 Dy 0.668 0.000 0.750
10 Dy 0.668 0.668 0.250
11 Tm 0.000 0.000 0.000
12 Tm 0.000 0.000 0.500
13 Mg 0.000 0.333 0.750
14 Mg 0.000 0.667 0.250
15 Mg 0.333 0.000 0.750
16 Mg 0.333 0.333 0.250
17 Mg 0.667 0.000 0.250
18 Mg 0.667 0.667 0.750

Computed properties:
volume = 520.0 Å³/cell
space group = P6_3/mcm (193)
ρ = 6.73 Mg/m³
energy relative to the elements = 0.01 eV/atom

=====

Computed, not measured: a relaxed Dy5Tm8Mg crystal at the GGA-PBE level of DFT.

Lattice parameters (Å, degrees): 8.306 8.306 8.306 110.49 110.49 107.45
Fractional positions:
1 Dy 0.000 0.000 0.000
2 Dy 0.210 0.314 0.685
3 Dy 0.475 0.790 0.104
4 Dy 0.629 0.525 0.315
5 Dy 0.686 0.371 0.896
6 Tm 0.157 0.427 0.091
7 Tm 0.336 0.066 0.909
8 Tm 0.418 0.161 0.395
9 Tm 0.573 0.664 0.730
10 Tm 0.766 0.023 0.605
11 Tm 0.839 0.234 0.257
12 Tm 0.934 0.843 0.270
13 Tm 0.977 0.582 0.743
14 Mg 0.250 0.750 0.500

Computed properties:
volume = 440.8 Å³/cell
space group = I-4 (82)
ρ = 8.24 Mg/m³
energy relative to the elements = 0.24 eV/atom